Entry 1:
Computed, not measured: a geometry-optimized U5Te12Br3 structure at the PBE-GGA level of DFT.

The structure in CIF format:
```
data_U5Te12Br3
_chemical_formula_sum 'U40 Te96 Br24'
_cell_length_a 18.526
_cell_length_b 18.526
_cell_length_c 18.526
_cell_angle_alpha 90.00
_cell_angle_beta 90.00
_cell_angle_gamma 90.00
_symmetry_space_group_name_H-M 'I a -3 d'
_symmetry_Int_Tables_number 230
_symmetry_space_group_name_Hall '-I 4bd 2c 3'
loop_
_atom_site_label
_atom_site_fract_x
_atom_site_fract_y
_atom_site_fract_z
_atom_site_occupancy
U1 0.000 0.000 0.000 1
U2 0.000 0.250 0.375 1
Te1 0.042 0.072 0.635 1
Br1 0.000 0.250 0.125 1
```

Entry 2:
Computed, not measured: a geometry-optimized UTeBr structure at the PBE-GGA level of DFT.

The structure in CIF format:
```
data_UTeBr
_chemical_formula_sum 'U4 Te4 Br4'
_cell_length_a 6.210
_cell_length_b 6.182
_cell_length_c 11.631
_cell_angle_alpha 90.00
_cell_angle_beta 90.49
_cell_angle_gamma 90.00
_symmetry_space_group_name_H-M 'C 1 2/m 1'
_symmetry_Int_Tables_number 12
loop_
_symmetry_equiv_pos_as_xyz
'x,y,z'
'-x,-y,-z'
'-x,y,-z'
'x,-y,z'
'x+1/2,y+1/2,z'
'-x+1/2,-y+1/2,-z'
'-x+1/2,y+1/2,-z'
'x+1/2,-y+1/2,z'
loop_
_atom_site_label
_atom_site_fract_x
_atom_site_fract_y
_atom_site_fract_z
_atom_site_occupancy
U1 0.248 0.000 0.359 1
Te1 0.248 0.500 0.367 1
Br1 0.243 0.000 0.131 1
```

Entry 3:
Computed, not measured: a geometry-optimized UTeBr structure at the PBE-GGA level of DFT.

The structure in CIF format:
```
data_UTeBr
_chemical_formula_sum 'U2 Te2 Br2'
_cell_length_a 4.162
_cell_length_b 6.136
_cell_length_c 8.845
_cell_angle_alpha 90.00
_cell_angle_beta 90.00
_cell_angle_gamma 90.00
_symmetry_space_group_name_H-M 'P m m n'
_symmetry_Int_Tables_number 59
loop_
_symmetry_equiv_pos_as_xyz
'x,y,z'
'-x,-y,-z'
'-x+1/2,-y+1/2,z'
'x+1/2,y+1/2,-z'
'x+1/2,-y,-z'
'-x+1/2,y,z'
'-x,y+1/2,-z'
'x,-y+1/2,z'
loop_
_atom_site_label
_atom_site_fract_x
_atom_site_fract_y
_atom_site_fract_z
_atom_site_occupancy
U1 0.250 0.250 0.124 1
Te1 0.250 0.750 0.136 1
Br1 0.250 0.750 0.648 1
```

Entry 4:
Computed, not measured: a geometry-optimized UTe2Br structure at the PBE-GGA level of DFT.

The structure in CIF format:
```
data_UTe2Br
_chemical_formula_sum 'U3 Te6 Br3'
_cell_length_a 4.5482
_cell_length_b 4.5482
_cell_length_c 23.7316
_cell_angle_alpha 90.00
_cell_angle_beta 90.00
_cell_angle_gamma 120.00
_symmetry_space_group_name_H-M 'R -3 m'
_symmetry_Int_Tables_number 166
_symmetry_space_group_name_Hall '-R 3 2"'
loop_
_atom_site_label
_atom_site_fract_x
_atom_site_fract_y
_atom_site_fract_z
_atom_site_occupancy
U1 0.0000 0.0000 0.0000 1
Te1 0.0000 0.0000 0.2693 1
Br1 0.0000 0.0000 0.5000 1
```

Entry 5:
Computed, not measured: a geometry-optimized V2Te4Br structure at the PBE-GGA level of DFT.

The structure in CIF format:
```
data_V2Te4Br
_chemical_formula_sum 'V4 Te8 Br2'
_cell_length_a 8.178
_cell_length_b 8.335
_cell_length_c 8.340
_cell_angle_alpha 88.42
_cell_angle_beta 60.68
_cell_angle_gamma 60.69
_symmetry_space_group_name_H-M 'P 1'
_symmetry_Int_Tables_number 1
loop_
_symmetry_equiv_pos_as_xyz
'x,y,z'
loop_
_atom_site_label
_atom_site_fract_x
_atom_site_fract_y
_atom_site_fract_z
_atom_site_occupancy
V1 0.000 0.000 0.000 1
V2 0.059 0.403 0.979 1
V3 0.500 0.425 0.576 1
V4 0.559 0.403 0.978 1
Te1 0.013 0.217 0.755 1
Te2 0.045 0.684 0.802 1
Te3 0.092 0.666 0.150 1
Te4 0.469 0.686 0.801 1
Te5 0.513 0.180 0.793 1
Te6 0.545 0.226 0.260 1
Te7 0.592 0.575 0.241 1
Te8 0.969 0.226 0.261 1
Br1 0.401 0.958 0.244 1
Br2 0.901 0.669 0.532 1
```

Entry 6:
Computed, not measured: a geometry-optimized V3TeBr structure at the PBE-GGA level of DFT.

The structure in CIF format:
```
data_V3TeBr
_chemical_formula_sum 'V3 Te1 Br1'
_cell_length_a 4.548
_cell_length_b 4.548
_cell_length_c 4.548
_cell_angle_alpha 90.00
_cell_angle_beta 90.00
_cell_angle_gamma 90.00
_symmetry_space_group_name_H-M 'P m -3 m'
_symmetry_Int_Tables_number 221
_symmetry_space_group_name_Hall '-P 4 2 3'
loop_
_atom_site_label
_atom_site_fract_x
_atom_site_fract_y
_atom_site_fract_z
_atom_site_occupancy
V1 0.000 0.000 0.500 1
Te1 0.500 0.500 0.500 1
Br1 0.000 0.000 0.000 1
```

Entry 7:
Computed, not measured: a geometry-optimized VTe2Br structure at the PBE-GGA level of DFT.

The structure in CIF format:
```
data_VTe2Br
_chemical_formula_sum 'V3 Te6 Br3'
_cell_length_a 3.2153
_cell_length_b 3.2153
_cell_length_c 37.7371
_cell_angle_alpha 90.00
_cell_angle_beta 90.00
_cell_angle_gamma 120.00
_symmetry_space_group_name_H-M 'R -3 m'
_symmetry_Int_Tables_number 166
_symmetry_space_group_name_Hall '-R 3 2"'
loop_
_atom_site_label
_atom_site_fract_x
_atom_site_fract_y
_atom_site_fract_z
_atom_site_occupancy
V1 0.0000 0.0000 0.0000 1
Te1 0.0000 0.0000 0.0716 1
Br1 0.0000 0.0000 0.5000 1
```

Entry 8:
Computed, not measured: a geometry-optimized V3TeBr structure at the PBE-GGA level of DFT.

The structure in CIF format:
```
data_V3TeBr
_chemical_formula_sum 'V3 Te1 Br1'
_cell_length_a 5.268
_cell_length_b 5.268
_cell_length_c 5.268
_cell_angle_alpha 90.00
_cell_angle_beta 90.00
_cell_angle_gamma 90.00
_symmetry_space_group_name_H-M 'P m -3 m'
_symmetry_Int_Tables_number 221
_symmetry_space_group_name_Hall '-P 4 2 3'
loop_
_atom_site_label
_atom_site_fract_x
_atom_site_fract_y
_atom_site_fract_z
_atom_site_occupancy
V1 0.000 0.000 0.500 1
Te1 0.000 0.000 0.000 1
Br1 0.500 0.500 0.500 1
```

Entry 9:
Computed, not measured: a geometry-optimized V2TeBr structure at the PBE-GGA level of DFT.

The structure in CIF format:
```
data_V2TeBr
_chemical_formula_sum 'V8 Te4 Br4'
_cell_length_a 6.166
_cell_length_b 6.166
_cell_length_c 12.219
_cell_angle_alpha 90.00
_cell_angle_beta 90.00
_cell_angle_gamma 90.00
_symmetry_space_group_name_H-M 'I -4 2 d'
_symmetry_Int_Tables_number 122
_symmetry_space_group_name_Hall 'I -4 2bw'
loop_
_atom_site_label
_atom_site_fract_x
_atom_site_fract_y
_atom_site_fract_z
_atom_site_occupancy
V1 0.240 0.250 0.125 1
Te1 0.000 0.000 0.500 1
Br1 0.000 0.000 0.000 1
```

Entry 10:
Computed, not measured: a geometry-optimized VTe4Br structure at the PBE-GGA level of DFT.

The structure in CIF format:
```
data_VTe4Br
_chemical_formula_sum 'V4 Te16 Br4'
_cell_length_a 16.293
_cell_length_b 7.800
_cell_length_c 6.193
_cell_angle_alpha 90.00
_cell_angle_beta 91.63
_cell_angle_gamma 90.00
_symmetry_space_group_name_H-M 'C 1 2/m 1'
_symmetry_Int_Tables_number 12
loop_
_symmetry_equiv_pos_as_xyz
'x,y,z'
'-x,-y,-z'
'-x,y,-z'
'x,-y,z'
'x+1/2,y+1/2,z'
'-x+1/2,-y+1/2,-z'
'-x+1/2,y+1/2,-z'
'x+1/2,-y+1/2,z'
loop_
_atom_site_label
_atom_site_fract_x
_atom_site_fract_y
_atom_site_fract_z
_atom_site_occupancy
V1 0.018 0.000 0.231 1
Te1 0.000 0.257 0.500 1
Te2 0.100 0.222 0.956 1
Te3 0.190 0.000 0.248 1
Br1 0.206 0.500 0.357 1
```

Entry 11:
Computed, not measured: a geometry-optimized V2TeBr structure at the PBE-GGA level of DFT.

The structure in CIF format:
```
data_V2TeBr
_chemical_formula_sum 'V8 Te4 Br4'
_cell_length_a 6.609
_cell_length_b 6.609
_cell_length_c 6.609
_cell_angle_alpha 90.00
_cell_angle_beta 90.00
_cell_angle_gamma 90.00
_symmetry_space_group_name_H-M 'F m -3 m'
_symmetry_Int_Tables_number 225
_symmetry_space_group_name_Hall '-F 4 2 3'
loop_
_atom_site_label
_atom_site_fract_x
_atom_site_fract_y
_atom_site_fract_z
_atom_site_occupancy
V1 0.250 0.250 0.250 1
Te1 0.000 0.000 0.000 1
Br1 0.000 0.000 0.500 1
```

Entry 12:
Computed, not measured: a geometry-optimized VTeBr2 structure at the PBE-GGA level of DFT.

The structure in CIF format:
```
data_VTeBr2
_chemical_formula_sum 'V3 Te3 Br6'
_cell_length_a 3.5596
_cell_length_b 3.5596
_cell_length_c 35.0799
_cell_angle_alpha 90.00
_cell_angle_beta 90.00
_cell_angle_gamma 120.00
_symmetry_space_group_name_H-M 'R -3 m'
_symmetry_Int_Tables_number 166
_symmetry_space_group_name_Hall '-R 3 2"'
loop_
_atom_site_label
_atom_site_fract_x
_atom_site_fract_y
_atom_site_fract_z
_atom_site_occupancy
V1 0.0000 0.0000 0.0000 1
Te1 0.0000 0.0000 0.5000 1
Br1 0.0000 0.0000 0.3783 1
```

Entry 13:
Computed, not measured: a geometry-optimized VTeBr2 structure at the PBE-GGA level of DFT.

The structure in CIF format:
```
data_VTeBr2
_chemical_formula_sum 'V4 Te4 Br8'
_cell_length_a 7.312
_cell_length_b 7.312
_cell_length_c 7.312
_cell_angle_alpha 90.00
_cell_angle_beta 90.00
_cell_angle_gamma 90.00
_symmetry_space_group_name_H-M 'F m -3 m'
_symmetry_Int_Tables_number 225
_symmetry_space_group_name_Hall '-F 4 2 3'
loop_
_atom_site_label
_atom_site_fract_x
_atom_site_fract_y
_atom_site_fract_z
_atom_site_occupancy
V1 0.000 0.000 0.000 1
Te1 0.000 0.000 0.500 1
Br1 0.250 0.250 0.250 1
```

Entry 14:
Computed, not measured: a geometry-optimized V2TeBr2 structure at the PBE-GGA level of DFT.

The structure in CIF format:
```
data_V2TeBr2
_chemical_formula_sum 'V4 Te2 Br4'
_cell_length_a 4.473
_cell_length_b 4.473
_cell_length_c 10.612
_cell_angle_alpha 90.00
_cell_angle_beta 90.00
_cell_angle_gamma 90.00
_symmetry_space_group_name_H-M 'I 4/m m m'
_symmetry_Int_Tables_number 139
_symmetry_space_group_name_Hall '-I 4 2'
loop_
_atom_site_label
_atom_site_fract_x
_atom_site_fract_y
_atom_site_fract_z
_atom_site_occupancy
V1 0.000 0.000 0.095 1
Te1 0.000 0.000 0.500 1
Br1 0.000 0.500 0.250 1
```

Entry 15:
Computed, not measured: a geometry-optimized VTe2Br structure at the PBE-GGA level of DFT.

The structure in CIF format:
```
data_VTe2Br
_chemical_formula_sum 'V3 Te6 Br3'
_cell_length_a 4.0508
_cell_length_b 4.0508
_cell_length_c 25.4741
_cell_angle_alpha 90.00
_cell_angle_beta 90.00
_cell_angle_gamma 120.00
_symmetry_space_group_name_H-M 'R -3 m'
_symmetry_Int_Tables_number 166
_symmetry_space_group_name_Hall '-R 3 2"'
loop_
_atom_site_label
_atom_site_fract_x
_atom_site_fract_y
_atom_site_fract_z
_atom_site_occupancy
V1 0.0000 0.0000 0.0000 1
Te1 0.0000 0.0000 0.3897 1
Br1 0.0000 0.0000 0.5000 1
```

Entry 16:
Computed, not measured: a geometry-optimized VTe2Br structure at the PBE-GGA level of DFT.

The structure in CIF format:
```
data_VTe2Br
_chemical_formula_sum 'V4 Te8 Br4'
_cell_length_a 7.034
_cell_length_b 7.034
_cell_length_c 11.440
_cell_angle_alpha 90.00
_cell_angle_beta 90.00
_cell_angle_gamma 90.00
_symmetry_space_group_name_H-M 'I -4 2 d'
_symmetry_Int_Tables_number 122
_symmetry_space_group_name_Hall 'I -4 2bw'
loop_
_atom_site_label
_atom_site_fract_x
_atom_site_fract_y
_atom_site_fract_z
_atom_site_occupancy
V1 0.000 0.000 0.000 1
Te1 0.159 0.250 0.125 1
Br1 0.000 0.000 0.500 1
```

Entry 17:
Computed, not measured: a geometry-optimized V2TeBr2 structure at the PBE-GGA level of DFT.

The structure in CIF format:
```
data_V2TeBr2
_chemical_formula_sum 'V4 Te2 Br4'
_cell_length_a 7.122
_cell_length_b 7.122
_cell_length_c 4.447
_cell_angle_alpha 90.00
_cell_angle_beta 90.00
_cell_angle_gamma 90.00
_symmetry_space_group_name_H-M 'P 4/m b m'
_symmetry_Int_Tables_number 127
_symmetry_space_group_name_Hall '-P 4 2ab'
loop_
_atom_site_label
_atom_site_fract_x
_atom_site_fract_y
_atom_site_fract_z
_atom_site_occupancy
V1 0.096 0.404 0.000 1
Te1 0.000 0.000 0.000 1
Br1 0.150 0.650 0.500 1
```

Entry 18:
Computed, not measured: a geometry-optimized VTeBr2 structure at the PBE-GGA level of DFT.

The structure in CIF format:
```
data_VTeBr2
_chemical_formula_sum 'V4 Te4 Br8'
_cell_length_a 9.411
_cell_length_b 9.411
_cell_length_c 5.244
_cell_angle_alpha 90.00
_cell_angle_beta 90.00
_cell_angle_gamma 90.00
_symmetry_space_group_name_H-M 'I -4 2 d'
_symmetry_Int_Tables_number 122
_symmetry_space_group_name_Hall 'I -4 2bw'
loop_
_atom_site_label
_atom_site_fract_x
_atom_site_fract_y
_atom_site_fract_z
_atom_site_occupancy
V1 0.000 0.000 0.000 1
Te1 0.000 0.000 0.500 1
Br1 0.108 0.250 0.125 1
```

Entry 19:
Computed, not measured: a geometry-optimized VTe2Br structure at the PBE-GGA level of DFT.

The structure in CIF format:
```
data_VTe2Br
_chemical_formula_sum 'V3 Te6 Br3'
_cell_length_a 3.6698
_cell_length_b 3.6698
_cell_length_c 25.5515
_cell_angle_alpha 90.00
_cell_angle_beta 90.00
_cell_angle_gamma 120.00
_symmetry_space_group_name_H-M 'R -3 m'
_symmetry_Int_Tables_number 166
_symmetry_space_group_name_Hall '-R 3 2"'
loop_
_atom_site_label
_atom_site_fract_x
_atom_site_fract_y
_atom_site_fract_z
_atom_site_occupancy
V1 0.0000 0.0000 0.0000 1
Te1 0.0000 0.0000 0.2670 1
Br1 0.0000 0.0000 0.5000 1
```

Entry 20:
Computed, not measured: a geometry-optimized VTe2Br structure at the PBE-GGA level of DFT.

The structure in CIF format:
```
data_VTe2Br
_chemical_formula_sum 'V4 Te8 Br4'
_cell_length_a 7.237
_cell_length_b 7.237
_cell_length_c 7.237
_cell_angle_alpha 90.00
_cell_angle_beta 90.00
_cell_angle_gamma 90.00
_symmetry_space_group_name_H-M 'F m -3 m'
_symmetry_Int_Tables_number 225
_symmetry_space_group_name_Hall '-F 4 2 3'
loop_
_atom_site_label
_atom_site_fract_x
_atom_site_fract_y
_atom_site_fract_z
_atom_site_occupancy
V1 0.000 0.000 0.000 1
Te1 0.250 0.250 0.250 1
Br1 0.000 0.000 0.500 1
```

Number 1: formation energy from raw total energies -0.06 eV per atom, DOS(E_F) 294.512 states/eV/cell. Number 2: formation energy from raw total energies -0.82 eV per atom, DOS(E_F) 22.471 states/eV/cell. Number 3: formation energy from raw total energies -0.89 eV per atom, DOS(E_F) 9.039 states/eV/cell. Number 4: formation energy from raw total energies -0.31 eV per atom, DOS(E_F) 24.182 states/eV/cell. Number 5: formation energy from raw total energies -0.19 eV per atom, DOS(E_F) 8.287 states/eV/cell. Number 6: formation energy from raw total energies 0.97 eV per atom, DOS(E_F) 6.848 states/eV/cell. Number 7: formation energy from raw total energies 0.47 eV per atom, DOS(E_F) 10.070 states/eV/cell. Number 8: formation energy from raw total energies 1.08 eV per atom, DOS(E_F) 10.834 states/eV/cell. Number 9: formation energy from raw total energies 0.23 eV per atom, DOS(E_F) 19.043 states/eV/cell. Number 10: formation energy from raw total energies -0.14 eV per atom, DOS(E_F) 13.393 states/eV/cell. Number 11: formation energy from raw total energies 0.27 eV per atom, DOS(E_F) 10.161 states/eV/cell. Number 12: formation energy from raw total energies -0.36 eV per atom, DOS(E_F) 14.011 states/eV/cell. Number 13: formation energy from raw total energies 0.50 eV per atom, DOS(E_F) 28.771 states/eV/cell. Number 14: formation energy from raw total energies 0.18 eV per atom, DOS(E_F) 6.031 states/eV/cell. Number 15: formation energy from raw total energies -0.22 eV per atom, DOS(E_F) 9.464 states/eV/cell. Number 16: formation energy from raw total energies 0.07 eV per atom, DOS(E_F) 14.924 states/eV/cell. Number 17: formation energy from raw total energies 0.19 eV per atom, DOS(E_F) 7.027 states/eV/cell. Number 18: formation energy from raw total energies -0.26 eV per atom, DOS(E_F) 7.193 states/eV/cell. Number 19: formation energy from raw total energies -0.20 eV per atom, DOS(E_F) 9.309 states/eV/cell. Number 20: formation energy from raw total energies 0.39 eV per atom, DOS(E_F) 30.114 states/eV/cell.